Entry 1:
Here is a relaxed structure of CeSmAu2 from the Alexandria database. Energies are from PBE.

The structure in extended XYZ format:
```
4
Lattice="-3.3031 1.3603 -2.0252 -2.1326 -2.5576 -2.4028 -6.2582 -2.3030 4.4970" Properties=species:S:1:pos:R:3 pbc="T T T"
Sm -5.8470 -1.7501 0.0345
Au -8.7634 -2.6221 0.0422
Au -2.9306 -0.8781 0.0268
Ce 0.0000 0.0000 0.0000
```

As for the crystal system: trigonal. For the energy relative to the elements, the calculation gives -0.577 eV per atom. Its total moment is 1.220 μB/f.u. For the total energy, the calculation gives -4.879 eV/atom.



Entry 2:
Here is a relaxed structure of CeSm2Au from the Alexandria database. Energies are from PBE.

The structure in extended XYZ format:
```
4
Lattice="3.7003 0.0000 0.0000 1.8502 3.2046 0.0000 1.8502 1.0682 10.2223" Properties=species:S:1:pos:R:3 pbc="T T T"
Sm 1.8502 1.0682 8.0359
Sm 1.8502 1.0682 2.1753
Ce 3.7003 2.1364 5.1183
Au 3.7003 2.1364 0.0041
```

As for the crystal system: trigonal. As for the polymorph energy (0 for the lowest one): 151 meV/atom. For the energy relative to the elements, the calculation gives -0.185 eV per atom. Its total moment is 1.541 μB/f.u. For the total energy, the calculation gives -4.847 eV/atom.



Entry 3:
Here is a relaxed structure of CeSmAu3 from the Alexandria database. Energies are from PBE.

The structure in extended XYZ format:
```
10
Lattice="-3.4548 -0.8511 0.8927 -0.9803 -0.7540 -4.5128 5.4763 -13.2494 1.0241" Properties=species:S:1:pos:R:3 pbc="T T T"
Ce 0.7435 -12.6861 -1.6808
Ce 0.2977 -2.1684 -0.9153
Au -0.6040 -5.6059 -0.1451
Au -2.2757 -1.6730 -2.8649
Au 3.3169 -13.1815 0.2689
Au -1.5543 -4.3044 -2.5820
Au 2.5955 -10.5501 -0.0141
Au 1.6452 -9.2486 -2.4510
Sm 0.8067 -6.1900 -2.7798
Sm 0.2345 -8.6645 0.1838
```

As for the crystal system: orthorhombic. For the energy relative to the elements, the calculation gives -0.725 eV per atom. Its total moment is 1.022 μB/f.u. For the total energy, the calculation gives -4.822 eV/atom.



Entry 4:
Here is a relaxed structure of CeSm2Au from the Alexandria database. Energies are from PBE.

The structure in extended XYZ format:
```
4
Lattice="4.4237 0.0000 0.0000 0.0000 4.9712 0.0000 0.0000 0.0000 4.9712" Properties=species:S:1:pos:R:3 pbc="T T T"
Sm 0.0000 0.0000 2.4856
Sm 0.0000 2.4856 0.0000
Ce 2.2119 2.4856 2.4856
Au 2.2119 0.0000 0.0000
```

As for the crystal system: tetragonal. As for the polymorph energy (0 for the lowest one): 160 meV/atom. For the energy relative to the elements, the calculation gives -0.176 eV per atom. Its total moment is 1.803 μB/f.u. For the total energy, the calculation gives -4.838 eV/atom.



Entry 5:
Here is a relaxed structure of Ce2SmAu from the Alexandria database. Energies are from PBE.

The structure in extended XYZ format:
```
4
Lattice="-2.8472 -2.2731 -0.8699 0.3932 -1.7508 3.2879 -5.2717 5.2850 3.4446" Properties=species:S:1:pos:R:3 pbc="T T T"
Au -1.2270 -2.0119 1.2090
Ce -4.1812 4.1917 2.7320
Ce -1.0905 1.0932 0.7125
Sm -3.8629 0.6305 2.9313
```

As for the crystal system: tetragonal. As for the polymorph energy (0 for the lowest one): 0 meV/atom. For the energy relative to the elements, the calculation gives -0.213 eV per atom. Its total moment is 1.850 μB/f.u. For the total energy, the calculation gives -5.179 eV/atom.



Entry 6:
Here is a relaxed structure of CeSm4Au5 from the Alexandria database. Energies are from PBE.

The structure in extended XYZ format:
```
10
Lattice="3.6513 0.0000 0.0000 0.0000 3.6513 0.0000 0.0000 0.0000 18.6887" Properties=species:S:1:pos:R:3 pbc="T T T"
Sm 0.0000 0.0000 3.7633
Sm 0.0000 0.0000 11.2068
Sm 0.0000 0.0000 14.9254
Sm 0.0000 0.0000 7.4819
Au 1.8257 1.8257 9.3444
Au 1.8257 1.8257 16.7428
Au 1.8257 1.8257 5.6259
Au 1.8257 1.8257 13.0629
Au 1.8257 1.8257 1.9459
Ce 0.0000 0.0000 0.0000
```

As for the crystal system: tetragonal. For the energy relative to the elements, the calculation gives -0.756 eV per atom. Its total moment is 1.103 μB/f.u. For the total energy, the calculation gives -4.876 eV/atom.



We obtain V values of 28.1, 30.3, 24.5, 27.3, 28.8, 24.9 Å³ per atom for the records listed above, in that order.